(1)
## HPd2Pt (PBE)

Data for HPd2Pt after structural relaxation.

Values from the calculation:
- relative energy among the computed polymorphs (meV per atom) = 561
- magnetization (μB per atom) = 0.000
- DFT total energy (Ry per atom) = -0.326

abc: 4.2831 4.2831 4.2831
angles: 60.00 60.00 60.00
Last column: nearest neighbours and their distance in Å.
Fractional positions:
H: 0.0000 0.0000 0.0000  8 Pd 2.62
Pd: 0.2500 0.2500 0.2500  4 Pt 2.62, 4 H 2.62
Pd: 0.7500 0.7500 0.7500  4 H 2.62, 4 Pt 2.62
Pt: 0.5000 0.5000 0.5000  8 Pd 2.62

(2)
## H7Pd5Pt (PBE)

Data for H7Pd5Pt after structural relaxation.

Values from the calculation:
- magnetization (μB per atom) = 0.000
- DFT total energy (Ry per atom) = -0.319

abc: 2.9811 4.3738 23.6533
angles: 90.09 129.98 89.97
Last column: nearest neighbours and their distance in Å.
Fractional positions:
H: 0.7258 0.7589 0.2527  2 Pt 1.82-1.83, 2 Pd 1.88-1.89
H: 0.2138 0.2348 0.7505  2 Pt 1.82, 2 Pd 1.88-1.91
H: 0.0290 0.2696 0.0118  4 Pd 1.78-1.91
H: 0.1047 0.7555 0.9279  4 Pd 1.81-1.93
H: 0.3483 0.7317 0.5782  4 Pd 1.79-1.94
H: 0.5954 0.2561 0.4263  4 Pd 1.79-1.94
H: 0.8218 0.2769 0.1716  1 Pt 1.80, 3 Pd 1.86
H: 0.1018 0.7241 0.8290  1 Pt 1.76, 3 Pd 1.88-1.95
H: 0.3394 0.7139 0.6748  1 Pt 1.76, 3 Pd 1.88-1.94
H: 0.6024 0.2753 0.3295  1 Pt 1.76, 3 Pd 1.89-1.94
H: 0.9069 0.7737 0.0893  4 Pd 1.83-1.85
H: 0.0324 0.2419 0.9141  4 Pd 1.80-1.93
H: 0.3914 0.2310 0.5863  4 Pd 1.84-1.86
H: 0.5550 0.7594 0.4186  4 Pd 1.83-1.86
Pd: 0.4960 0.0163 0.0055  5 H 1.81-1.93
Pd: 0.5741 0.4997 0.9221  6 H 1.86-1.95
Pd: 0.4051 0.5252 0.0886  4 H 1.78-1.86
Pd: 0.1406 0.0123 0.3369  5 H 1.85-1.94
Pd: 0.8033 0.9763 0.6678  5 H 1.85-1.94
Pd: 0.9728 0.9949 0.5024  4 H 1.79-1.84
Pd: 0.0668 0.5054 0.4210  5 H 1.85-1.94
Pd: 0.8746 0.4838 0.5830  5 H 1.84-1.94
Pd: 0.6404 0.9840 0.8366  5 H 1.80-1.93
Pd: 0.3168 0.0217 0.1705  4 H 1.83-1.88
Pt: 0.2239 0.5183 0.2523  4 H 1.76-1.83
Pt: 0.7249 0.4741 0.7528  4 H 1.76-1.82

(3)
## HPd2Pt2 (PBE)

Data for HPd2Pt2 after structural relaxation.

Values from the calculation:
- relative energy among the computed polymorphs (meV per atom) = 943
- magnetization (μB per atom) = 0.001
- DFT total energy (Ry per atom) = -0.312

abc: 3.6227 3.6227 6.9103
angles: 74.80 74.80 90.00
Last column: nearest neighbours and their distance in Å.
Fractional positions:
H: 0.0000 0.0000 0.0000  8 Pt 2.84
Pd: 0.7500 0.2500 0.5000  4 Pd 2.56, 4 Pt 2.68
Pd: 0.2500 0.7500 0.5000  4 Pd 2.56, 4 Pt 2.68
Pt: 0.4040 0.4040 0.1919  1 Pt 2.46, 4 Pd 2.68
Pt: 0.5960 0.5960 0.8081  1 Pt 2.46, 4 Pd 2.68

(4)
## H7Pd2Pt2 (PBE)

Data for H7Pd2Pt2 after structural relaxation.

Values from the calculation:
- relative energy among the computed polymorphs (meV per atom) = 0
- magnetization (μB per atom) = 0.000
- DFT total energy (Ry per atom) = -0.302

abc: 4.4818 4.4677 4.4677
angles: 84.30 89.88 89.88
Last column: nearest neighbours and their distance in Å.
Fractional positions:
H: 0.2522 0.9996 0.4994  2 Pt 1.88, 2 Pd 1.99-2.00
H: 0.7478 0.5006 0.0004  2 Pt 1.88, 2 Pd 1.99-2.00
H: 0.7478 0.0004 0.5006  2 Pt 1.88, 2 Pd 1.99-2.00
H: 0.2522 0.4994 0.9996  2 Pt 1.88, 2 Pd 1.99-2.00
H: 0.0000 0.0000 0.0000  2 Pt 1.74
H: 0.7599 0.5005 0.5005  2 Pt 1.91, 2 Pd 1.91
H: 0.2401 0.4995 0.4995  2 Pt 1.91, 2 Pd 1.91
Pd: 0.5000 0.2470 0.7530  6 H 1.91-2.00
Pd: 0.5000 0.7530 0.2470  6 H 1.91-2.00
Pt: 0.0006 0.2620 0.2620  7 H 1.74-1.91
Pt: 0.9994 0.7380 0.7380  7 H 1.74-1.91

(5)
## H6Pd3Pt2 (PBE)

Data for H6Pd3Pt2 after structural relaxation.

Values from the calculation:
- magnetization (μB per atom) = 0.000
- DFT total energy (Ry per atom) = -0.317

abc: 5.5765 4.6487 4.6487
angles: 120.00 90.00 90.00
Last column: nearest neighbours and their distance in Å.
Fractional positions:
H: 0.7982 0.2738 0.3244  1 Pt 1.71, 1 Pd 1.83
H: 0.7982 0.0506 0.7262  1 Pt 1.71, 1 Pd 1.83
H: 0.7982 0.6756 0.9494  1 Pt 1.71, 1 Pd 1.83
H: 0.2018 0.7262 0.6756  1 Pt 1.71, 1 Pd 1.83
H: 0.2018 0.9494 0.2738  1 Pt 1.71, 1 Pd 1.83
H: 0.2018 0.3244 0.0506  1 Pt 1.71, 1 Pd 1.83
Pd: 0.8542 0.6667 0.3333  3 H 1.83
Pd: 0.1458 0.3333 0.6667  3 H 1.83
Pd: 0.5000 0.0000 0.0000  6 H 2.18
Pt: 0.6429 0.3333 0.6667  3 H 1.71
Pt: 0.3571 0.6667 0.3333  3 H 1.71

(6)
## H4Pd8Pt (PBE)

Data for H4Pd8Pt after structural relaxation.

Values from the calculation:
- magnetization (μB per atom) = 0.000
- DFT total energy (Ry per atom) = -0.343

abc: 5.7261 7.4101 7.5340
angles: 109.55 113.53 124.78
Last column: nearest neighbours and their distance in Å.
Fractional positions:
H: 0.5029 0.3405 0.2509  1 Pt 1.85, 2 Pd 1.90-1.97
H: 0.4971 0.6595 0.7491  1 Pt 1.85, 2 Pd 1.90-1.97
H: 0.1965 0.7138 0.0578  4 Pd 1.77-1.82
H: 0.8035 0.2862 0.9422  4 Pd 1.77-1.82
Pd: 0.6373 0.9239 0.1177  1 H 1.77
Pd: 0.3155 0.7051 0.3144  2 H 1.81-1.82
Pd: 0.7876 0.6901 0.2978  1 H 1.90
Pd: 0.1049 0.9142 0.1073  2 H 1.81-1.97
Pd: 0.8951 0.0858 0.8927  2 H 1.81-1.97
Pd: 0.2124 0.3099 0.7022  1 H 1.90
Pd: 0.6845 0.2949 0.6856  2 H 1.81-1.82
Pd: 0.3627 0.0761 0.8823  1 H 1.77
Pt: 0.0000 0.5000 0.5000  2 H 1.85

(7)
## H7Pd2Pt2 (PBE)

Data for H7Pd2Pt2 after structural relaxation.

Values from the calculation:
- relative energy among the computed polymorphs (meV per atom) = 20
- magnetization (μB per atom) = 0.000
- DFT total energy (Ry per atom) = -0.300

abc: 4.8621 4.5131 4.5131
angles: 93.66 101.21 101.21
Last column: nearest neighbours and their distance in Å.
Fractional positions:
H: 0.7648 0.9128 0.5209  1 Pt 1.71, 1 Pd 1.86
H: 0.2352 0.4791 0.0872  1 Pt 1.71, 1 Pd 1.86
H: 0.2352 0.0872 0.4791  1 Pt 1.71, 1 Pd 1.86
H: 0.7648 0.5209 0.9128  1 Pt 1.71, 1 Pd 1.86
H: 0.5000 0.0000 0.0000  2 Pt 1.72
H: 0.1638 0.6395 0.6395  1 Pt 1.76, 2 Pd 1.81
H: 0.8362 0.3605 0.3605  1 Pt 1.76, 2 Pd 1.81
Pd: 0.0000 0.2694 0.7306  6 H 1.81-2.01
Pd: 0.0000 0.7306 0.2694  6 H 1.81-2.01
Pt: 0.4587 0.2669 0.2669  4 H 1.71-1.76
Pt: 0.5413 0.7331 0.7331  4 H 1.71-1.76

(8)
## PuH8Pd2Pt (PBE)

Data for PuH8Pd2Pt after structural relaxation.

Values from the calculation:
- magnetization (μB per atom) = 0.433
- DFT total energy (Ry per atom) = -0.360

abc: 4.7163 4.7163 6.3546
angles: 68.22 68.22 60.00
Last column: nearest neighbours and their distance in Å.
Fractional positions:
Pu: 0.5000 0.5000 0.5000  6 H 2.43
H: 0.1744 0.1744 0.4768  1 Pd 1.65
H: 0.6614 0.2670 0.1697  1 Pt 1.74, 1 Pd 1.79
H: 0.8256 0.8256 0.5232  1 Pd 1.65
H: 0.9019 0.6614 0.1697  1 Pt 1.74, 1 Pd 1.79
H: 0.0981 0.3386 0.8303  1 Pt 1.74, 1 Pd 1.79
H: 0.2670 0.9019 0.1697  1 Pt 1.74, 1 Pd 1.79
H: 0.7330 0.0981 0.8303  1 Pt 1.74, 1 Pd 1.79
H: 0.3386 0.7330 0.8303  1 Pt 1.74, 1 Pd 1.79
Pd: 0.2704 0.2704 0.1889  4 H 1.65-1.79
Pd: 0.7296 0.7296 0.8111  4 H 1.65-1.79
Pt: 0.0000 0.0000 0.0000  6 H 1.74

(9)
## PuH6PdPt (PBE)

Data for PuH6PdPt after structural relaxation.

Values from the calculation:
- magnetization (μB per atom) = 0.591
- DFT total energy (Ry per atom) = -0.388

abc: 4.8024 4.8023 4.2253
angles: 90.00 90.00 60.00
Last column: nearest neighbours and their distance in Å.
Fractional positions:
Pu: 0.0000 0.0000 0.0000  12 H 2.58-2.59
H: 0.0116 0.4941 0.2262  1 Pt 1.77, 1 Pd 1.84, 1 H 1.91
H: 0.4941 0.0114 0.7738  1 Pt 1.77, 1 Pd 1.84, 1 H 1.91
H: 0.4944 0.4942 0.7738  1 Pt 1.77, 1 Pd 1.84, 1 H 1.91
H: 0.0114 0.4944 0.7738  1 Pt 1.77, 1 Pd 1.84, 1 H 1.91
H: 0.4940 0.4944 0.2262  1 Pt 1.77, 1 Pd 1.84, 1 H 1.91
H: 0.4943 0.0116 0.2262  1 Pt 1.77, 1 Pd 1.84, 1 H 1.91
Pd: 0.6667 0.6667 0.4998  6 H 1.84
Pt: 0.3333 0.3333 0.5001  6 H 1.77

(10)
## RbH6PdPt (PBE)

Data for RbH6PdPt after structural relaxation.

Values from the calculation:
- magnetization (μB per atom) = 0.000
- DFT total energy (Ry per atom) = -0.275

abc: 4.9690 4.9690 5.6099
angles: 90.00 90.00 60.00
Last column: nearest neighbours and their distance in Å.
Fractional positions:
Rb: 0.0000 0.0000 0.0000  6 H 2.70
H: 0.0151 0.3545 0.3599  1 Pt 1.72, 1 Pd 1.83
H: 0.3544 0.0151 0.6401  1 Pt 1.72, 1 Pd 1.83
H: 0.6304 0.3545 0.6401  1 Pt 1.72, 1 Pd 1.83
H: 0.0150 0.6305 0.6401  1 Pt 1.72, 1 Pd 1.83
H: 0.3544 0.6304 0.3599  1 Pt 1.72, 1 Pd 1.83
H: 0.6304 0.0151 0.3599  1 Pt 1.72, 1 Pd 1.83
Pd: 0.6667 0.6667 0.5000  6 H 1.83
Pt: 0.3333 0.3333 0.5000  6 H 1.72

(11)
## HPdPt2Rh (PBE)

Data for HPdPt2Rh after structural relaxation.

Values from the calculation:
- relative energy among the computed polymorphs (meV per atom) = 0
- magnetization (μB per atom) = 0.109
- DFT total energy (Ry per atom) = -0.406

abc: 4.0105 4.0105 3.9647
angles: 90.00 90.00 90.00
Last column: nearest neighbours and their distance in Å.
Fractional positions:
H: 0.0000 0.0000 0.0000  2 Rh 1.98, 4 Pt 2.01
Rh: 0.0000 0.0000 0.5000  2 H 1.98
Pd: 0.5000 0.5000 0.5000  8 Pt 2.82, 4 Rh 2.84
Pt: 0.0000 0.5000 0.0000  2 H 2.01
Pt: 0.5000 0.0000 0.0000  2 H 2.01

(12)
## HPdPt2Rh (PBE)

Data for HPdPt2Rh after structural relaxation.

Values from the calculation:
- relative energy among the computed polymorphs (meV per atom) = 20
- magnetization (μB per atom) = 0.000
- DFT total energy (Ry per atom) = -0.405

abc: 3.9728 3.9728 4.0454
angles: 90.00 90.00 90.00
Last column: nearest neighbours and their distance in Å.
Fractional positions:
H: 0.0000 0.0000 0.0000  4 Pt 1.99, 2 Pd 2.02
Rh: 0.5000 0.5000 0.5000  4 Pd 2.81, 8 Pt 2.83
Pd: 0.0000 0.0000 0.5000  2 H 2.02
Pt: 0.0000 0.5000 0.0000  2 H 1.99
Pt: 0.5000 0.0000 0.0000  2 H 1.99